A relaxed structure of MnCdOs2. Source: Alexandria via LeMat-Bulk, functional PBE.

```
MnCdOs2
1.0
5.019 0.001 0.026
4.240 2.687 0.026
1.201 0.349 4.530
Cd Mn Os
1 1 2
Direct
0.750 0.750 0.750
0.250 0.250 0.250
0.974 0.974 0.032
0.526 0.526 0.468
```

uncorrected energy	-7.759	eV/atom
E_form	0.38	eV per atom
N(E_F)	0.790	states/eV/atom
magnetization	2.313	μB per formula unit

---

A relaxed structure of Ac2LaPrSe6. Source: Alexandria via LeMat-Bulk, functional PBE.

```
Ac2LaPrSe6
1.0
7.761 0.000 0.001
3.881 6.721 0.000
3.881 2.241 6.723
Ac La Pr Se
2 1 1 6
Direct
0.523 0.523 0.431
0.023 0.023 0.931
0.314 0.314 0.058
0.815 0.815 0.556
0.613 0.198 0.257
0.198 0.932 0.257
0.932 0.613 0.257
0.436 0.698 0.757
0.698 0.110 0.757
0.110 0.436 0.757
```

uncorrected energy	-5.828	eV/atom
N(E_F)	0.000	states/eV/atom
magnetization	0.000	μB per formula unit

---

A relaxed structure of Np3TlSe6. Source: Alexandria via LeMat-Bulk, functional PBE.

```
Np3TlSe6
1.0
7.362 0.000 0.000
0.000 8.753 0.072
0.000 -1.883 8.548
Np Tl Se
6 2 12
Direct
0.474 0.918 0.716
0.974 0.716 0.918
0.380 0.401 0.599
0.880 0.599 0.401
0.974 0.082 0.284
0.474 0.284 0.082
0.992 0.195 0.805
0.492 0.805 0.195
0.172 0.696 0.625
0.672 0.625 0.696
0.248 0.480 0.920
0.748 0.920 0.480
0.238 0.011 0.989
0.586 0.229 0.771
0.086 0.771 0.229
0.738 0.989 0.011
0.248 0.080 0.520
0.748 0.520 0.080
0.172 0.375 0.304
0.672 0.304 0.375
```

uncorrected energy	-7.139	eV/atom
N(E_F)	2.615	states/eV/atom
magnetization	3.585	μB per formula unit

---

A relaxed structure of BaLaHIr2. Source: Alexandria via LeMat-Bulk, functional PBE.

```
BaLaHIr2
1.0
5.491 0.000 0.000
0.000 3.906 0.000
0.000 0.000 5.491
H Ir Ba La
1 2 1 1
Direct
0.000 0.500 0.000
0.000 0.000 0.500
0.500 0.000 0.000
0.000 0.000 0.000
0.500 0.500 0.500
```

uncorrected energy	-4.697	eV/atom
N(E_F)	0.822	states/eV/atom
magnetization	0.000	μB per formula unit

---

A relaxed structure of PmYSn. Source: Alexandria via LeMat-Bulk, functional PBE.

```
PmYSn
1.0
5.205 0.000 0.000
2.603 4.508 0.000
2.603 1.503 4.250
Y Sn Pm
1 1 1
Direct
0.000 0.000 0.000
0.250 0.250 0.250
0.500 0.500 0.500
```

uncorrected energy	-5.512	eV/atom
E_form	-0.44	eV per atom
N(E_F)	1.111	states/eV/atom
magnetization	0.000	μB per formula unit
ΔE to the lowest computed polymorph	0.49	eV/f.u.

---

A relaxed structure of Ba4TaIr. Source: Alexandria via LeMat-Bulk, functional PBE.

```
Ba4TaIr
1.0
3.038 -5.485 2.446
-3.323 -4.112 4.165
-1.886 -6.110 -2.099
Ba Ta Ir
4 1 1
Direct
0.873 0.376 0.376
0.376 0.376 0.873
0.376 0.873 0.376
0.376 0.376 0.376
0.000 0.000 0.000
0.750 0.750 0.750
```

uncorrected energy	-3.218	eV/atom
E_form	1.52	eV per atom
N(E_F)	1.076	states/eV/atom
magnetization	4.429	μB per formula unit

---

A relaxed structure of SrPm5. Source: Alexandria via LeMat-Bulk, functional PBE.

```
SrPm5
1.0
-0.009 -2.173 4.814
0.629 -4.772 -2.153
7.518 3.239 1.476
Sr Pm
1 5
Direct
0.000 0.000 0.000
0.000 0.673 0.346
0.000 0.327 0.654
0.500 0.500 0.000
0.500 0.173 0.346
0.500 0.827 0.654
```

uncorrected energy	-4.142	eV/atom
E_form	0.10	eV per atom
N(E_F)	1.538	states/eV/atom
magnetization	0.000	μB per formula unit

---

A relaxed structure of Hf2CdTcH. Source: Alexandria via LeMat-Bulk, functional PBE.

```
Hf2CdTcH
1.0
-1.567 -1.945 3.837
2.277 -3.840 -1.017
2.991 1.278 1.870
H Hf Tc Cd
1 2 1 1
Direct
0.000 0.000 0.000
0.000 0.500 0.000
0.500 0.000 0.000
0.000 0.000 0.500
0.500 0.500 0.500
```

uncorrected energy	-7.072	eV/atom
N(E_F)	0.543	states/eV/atom
magnetization	0.000	μB per formula unit

---

A relaxed structure of Cd2TeMoIr. Source: Alexandria via LeMat-Bulk, functional PBE.

```
Cd2TeMoIr
1.0
-1.225 -4.739 -1.949
4.435 -0.113 -2.513
2.293 -2.299 4.149
Mo Ir Te Cd
1 1 1 2
Direct
0.000 0.500 0.000
0.500 0.500 0.500
0.000 0.000 0.000
0.000 0.000 0.500
0.500 0.000 0.000
```

uncorrected energy	-3.101	eV/atom
N(E_F)	1.042	states/eV/atom
magnetization	3.226	μB per formula unit

---

A relaxed structure of FeReTe3. Source: Alexandria via LeMat-Bulk, functional PBE.

```
FeReTe3
1.0
-1.207 -4.670 -0.207
3.948 -0.904 -2.628
2.503 -0.826 4.045
Re Te Fe
1 3 1
Direct
0.500 0.500 0.500
0.000 0.500 0.000
0.000 0.000 0.500
0.500 0.000 0.000
0.000 0.000 0.000
```

uncorrected energy	-4.725	eV/atom
N(E_F)	1.361	states/eV/atom
magnetization	0.004	μB per formula unit
ΔE to the lowest computed polymorph	0.00	eV/f.u.

---

A relaxed structure of Na4B7C. Source: Alexandria via LeMat-Bulk, functional PBE.

```
Na4B7C
1.0
2.973 0.000 0.000
-1.486 2.575 0.000
0.000 0.000 34.481
Na C B
8 2 14
Direct
0.000 0.000 0.998
0.000 0.000 0.124
0.000 0.000 0.250
0.000 0.000 0.375
0.000 0.000 0.501
0.000 0.000 0.627
0.000 0.000 0.750
0.000 0.000 0.875
0.667 0.333 0.688
0.667 0.333 0.937
0.333 0.667 0.061
0.667 0.333 0.187
0.333 0.667 0.187
0.667 0.333 0.061
0.333 0.667 0.312
0.667 0.333 0.438
0.333 0.667 0.438
0.667 0.333 0.312
0.333 0.667 0.564
0.333 0.667 0.688
0.667 0.333 0.564
0.333 0.667 0.812
0.333 0.667 0.937
0.667 0.333 0.812
```

uncorrected energy	-4.840	eV/atom
E_form	0.26	eV per atom
N(E_F)	0.431	states/eV/atom
magnetization	0.000	μB per formula unit
ΔE to the lowest computed polymorph	0.50	eV/f.u.

---

A relaxed structure of TbTmCuAg. Source: Alexandria via LeMat-Bulk, functional PBE.

```
TbTmCuAg
1.0
-1.509 -1.722 2.669
-1.789 -1.981 -2.290
5.340 -4.762 -0.052
Tb Tm Cu Ag
1 1 1 1
Direct
0.000 0.000 0.843
0.000 0.000 0.371
0.500 0.500 0.598
0.500 0.500 0.116
```

uncorrected energy	-4.305	eV/atom
E_form	-0.29	eV per atom
N(E_F)	0.629	states/eV/atom
magnetization	0.000	μB per formula unit
ΔE to the lowest computed polymorph	0.00	eV/f.u.